{
  "formula": "CoAgPRu2",
  "functional": "PBE",
  "state": "optimized geometry",
  "density_g_cm3": 7.43,
  "formation_enthalpy_0k_ev_per_atom": 1.46,
  "volume_a3_per_cell": 89,
  "lattice_angstrom": [[4.367, 0.000, 0.000], [0.000, 4.684, 0.000], [0.000, 0.000, 4.367]],
  "species": ["Ru", "Ru", "Co", "Ag", "P"],
  "frac_coords": [[0.000, 0.000, 0.500], [0.500, 0.000, 0.000], [0.000, 0.000, 0.000], [0.000, 0.500, 0.000], [0.500, 0.500, 0.500]]
}